! Cd3Br5Cl, relaxed, DFT PBE; values from VASP
&SYSTEM
  ibrav = 0, nat = 18, ntyp = 3
/
ATOMIC_SPECIES
Cd 112.41 Cd.upf
Br 79.90 Br.upf
Cl 35.45 Cl.upf
ATOMIC_POSITIONS crystal
Cd 0.000 0.000 0.000
Cd 0.000 0.000 0.500
Cd 0.323 0.323 0.339
Cd 0.334 0.334 0.830
Cd 0.666 0.666 0.170
Cd 0.677 0.677 0.661
Br 0.027 0.640 0.335
Br 0.231 0.231 0.040
Br 0.305 0.695 0.000
Br 0.360 0.973 0.665
Br 0.440 0.440 0.632
Br 0.560 0.560 0.368
Br 0.640 0.027 0.335
Br 0.695 0.305 0.000
Br 0.769 0.769 0.960
Br 0.973 0.360 0.665
Cl 0.099 0.099 0.292
Cl 0.901 0.901 0.708
CELL_PARAMETERS angstrom
6.237 -4.781 0.000
6.237 4.781 0.000
-4.439 0.000 9.238
! Uncorrected formation energy = -840 meV per atom
! DOS(E_F) = 0.00 states/eV/f.u.

***

! LaZrCl, relaxed, DFT PBE; values from VASP
&SYSTEM
  ibrav = 0, nat = 6, ntyp = 3
/
ATOMIC_SPECIES
La 138.91 La.upf
Zr 91.22 Zr.upf
Cl 35.45 Cl.upf
ATOMIC_POSITIONS crystal
La 0.097 0.250 0.282
La 0.903 0.750 0.718
Zr 0.387 0.250 0.950
Zr 0.613 0.750 0.050
Cl 0.310 0.250 0.632
Cl 0.690 0.750 0.368
CELL_PARAMETERS angstrom
3.470 0.000 0.000
0.000 5.025 0.000
-1.525 0.000 8.988
! Offset from the most stable computed form = 0.216 eV/f.u.
! Uncorrected formation energy = -838 meV per atom
! DOS(E_F) = 2.38 states/eV/f.u.

***

! BeCrC3, relaxed, DFT PBE; values from VASP
&SYSTEM
  ibrav = 0, nat = 5, ntyp = 3
/
ATOMIC_SPECIES
Be 9.01 Be.upf
Cr 52.00 Cr.upf
C 12.01 C.upf
ATOMIC_POSITIONS crystal
Be 0.000 0.000 0.000
Cr 0.500 0.500 0.500
C 0.000 0.000 0.500
C 0.000 0.500 0.000
C 0.500 0.000 0.000
CELL_PARAMETERS angstrom
3.453 0.000 0.000
0.000 3.453 0.000
0.000 0.000 3.453
! Offset from the most stable computed form = 1.287 eV/f.u.
! DOS(E_F) = 6.11 states/eV/f.u.
! Formation energy = 11.36 eV per formula unit

***

! LiCaCePb, relaxed, DFT PBE; values from VASP
&SYSTEM
  ibrav = 0, nat = 16, ntyp = 4
/
ATOMIC_SPECIES
Li 6.94 Li.upf
Ca 40.08 Ca.upf
Ce 140.12 Ce.upf
Pb 207.20 Pb.upf
ATOMIC_POSITIONS crystal
Li 0.000 0.000 0.000
Li 0.000 0.500 0.500
Li 0.500 0.000 0.500
Li 0.500 0.500 0.000
Ca 0.250 0.250 0.750
Ca 0.250 0.750 0.250
Ca 0.750 0.250 0.250
Ca 0.750 0.750 0.750
Ce 0.250 0.250 0.250
Ce 0.250 0.750 0.750
Ce 0.750 0.250 0.750
Ce 0.750 0.750 0.250
Pb 0.000 0.000 0.500
Pb 0.000 0.500 0.000
Pb 0.500 0.000 0.000
Pb 0.500 0.500 0.500
CELL_PARAMETERS angstrom
7.743 0.000 0.000
0.000 7.743 0.000
0.000 0.000 7.743
! DOS(E_F) = 10.19 states/eV/f.u.
! Formation energy = -0.90 eV per formula unit

***

! LaTmMg2Tl4, relaxed, DFT PBE; values from VASP
&SYSTEM
  ibrav = 0, nat = 8, ntyp = 4
/
ATOMIC_SPECIES
La 138.91 La.upf
Tm 168.93 Tm.upf
Mg 24.30 Mg.upf
Tl 204.38 Tl.upf
ATOMIC_POSITIONS crystal
La 0.000 0.000 0.000
Tm 0.500 0.500 0.500
Mg 0.248 0.248 0.248
Mg 0.752 0.752 0.752
Tl 0.127 0.127 0.127
Tl 0.382 0.382 0.382
Tl 0.618 0.618 0.618
Tl 0.873 0.873 0.873
CELL_PARAMETERS angstrom
2.627 1.517 8.963
-2.627 1.517 8.963
0.000 -3.033 8.963
! DOS(E_F) = 4.08 states/eV/f.u.
! Formation energy = -1.93 eV per formula unit

***

! MnCd3Os, relaxed, DFT PBE; values from VASP
&SYSTEM
  ibrav = 0, nat = 5, ntyp = 3
/
ATOMIC_SPECIES
Mn 54.94 Mn.upf
Cd 112.41 Cd.upf
Os 190.23 Os.upf
ATOMIC_POSITIONS crystal
Mn 0.000 0.000 0.000
Cd 0.000 0.500 0.500
Cd 0.500 0.000 0.500
Cd 0.500 0.500 0.000
Os 0.500 0.500 0.500
CELL_PARAMETERS angstrom
5.173 0.000 0.000
0.000 5.173 0.000
0.000 0.000 5.173
! Offset from the most stable computed form = 0.000 eV/f.u.
! DOS(E_F) = 3.90 states/eV/f.u.
! Formation energy = 5.63 eV per formula unit

***

! Ac2PmAs, relaxed, DFT PBE; values from VASP
&SYSTEM
  ibrav = 0, nat = 4, ntyp = 3
/
ATOMIC_SPECIES
Ac 227.00 Ac.upf
Pm 145.00 Pm.upf
As 74.92 As.upf
ATOMIC_POSITIONS crystal
Ac 0.000 0.000 0.198
Ac 0.000 0.000 0.802
Pm 0.500 0.500 0.500
As 0.500 0.500 0.000
CELL_PARAMETERS angstrom
3.977 0.000 0.000
0.000 3.977 0.000
0.000 0.000 8.928
! Offset from the most stable computed form = 0.118 eV/f.u.
! DOS(E_F) = 5.80 states/eV/f.u.
! Formation energy = -1.91 eV per formula unit

***

! Li2TlTe2, relaxed, DFT PBE; values from VASP
&SYSTEM
  ibrav = 0, nat = 10, ntyp = 3
/
ATOMIC_SPECIES
Li 6.94 Li.upf
Tl 204.38 Tl.upf
Te 127.60 Te.upf
ATOMIC_POSITIONS crystal
Li 0.228 0.000 0.364
Li 0.272 0.500 0.636
Li 0.728 0.500 0.364
Li 0.772 0.000 0.636
Tl 0.000 0.500 0.000
Tl 0.500 0.000 0.000
Te 0.139 0.000 0.708
Te 0.361 0.500 0.292
Te 0.639 0.500 0.708
Te 0.861 0.000 0.292
CELL_PARAMETERS angstrom
7.965 0.000 0.000
0.000 4.915 0.000
-1.619 0.000 7.288
! Offset from the most stable computed form = 0.000 eV/f.u.
! Uncorrected formation energy = -644 meV per atom
! DOS(E_F) = 0.98 states/eV/f.u.

***

| no. | VASP energy (eV/atom) |
| --- | --- |
| 1 | -2.28 |
| 2 | -5.95 |
| 3 | -5.93 |
| 4 | -3.62 |
| 5 | -3.00 |
| 6 | -3.50 |
| 7 | -4.88 |
| 8 | -3.14 |